MnFe2TeO6: relaxed, PBE with a Hubbard U.

The value obtained for the energy is -65.040 eV per formula unit.

a = 5.4238 Å, b = 5.4231 Å, c = 9.5294 Å
α = 90.00°, β = 124.46°, γ = 90.00°
Sites, in units of the cell vectors:
Mn1 0.0000 0.0000 0.0000
Mn2 0.0000 0.5000 0.5000
Fe1 0.2317 0.0301 0.7243
Fe2 0.2317 0.4699 0.2243
Fe3 0.7683 0.5301 0.7757
Fe4 0.7683 0.9699 0.2757
Te1 0.5000 0.0000 0.5000
Te2 0.5000 0.5000 0.0000
O1 0.1481 0.1665 0.4628
O2 0.1481 0.3335 0.9628
O3 0.2489 0.7045 0.4059
O4 0.2489 0.7955 0.9059
O5 0.3913 0.0999 0.2720
O6 0.3913 0.4001 0.7720
O7 0.6087 0.5999 0.2280
O8 0.6087 0.9001 0.7280
O9 0.7511 0.2045 0.0941
O10 0.7511 0.2955 0.5941
O11 0.8519 0.6665 0.0372
O12 0.8519 0.8335 0.5372